Crystalline Ba8RhAu3I4 at its relaxed geometry, computed with PBE-GGA.

```
16
Lattice="9.408 0.000 0.000 0.000 10.335 0.640 -4.704 -4.699 6.656" Properties=species:S:1:pos:R:3 pbc="T T T"
Ba 7.165 2.950 0.339
Ba 2.461 2.687 6.956
Ba 4.704 5.118 3.609
Ba 0.000 0.519 3.686
Ba 2.243 2.950 0.339
Ba -2.461 2.687 6.956
Ba 4.704 0.491 3.822
Ba 0.000 5.146 3.473
Au 2.352 2.818 3.648
Au 4.704 5.168 0.320
Au -2.352 2.818 3.648
I 2.352 -2.349 3.328
I 4.704 0.000 0.000
I -2.352 -2.349 3.328
I 0.000 0.000 0.000
Rh 0.000 5.168 0.320
```

Calculated values
Uncorrected formation energy (eV per atom): -1.0079
SG: C2/m

---

Crystalline HfP2S2 at its relaxed geometry, computed with PBE-GGA.

```
5
Lattice="-1.814 -1.742 4.119 -3.400 -2.350 -2.491 3.161 -4.177 -0.374" Properties=species:S:1:pos:R:3 pbc="T T T"
S -1.700 -1.175 -1.245
S -0.907 -0.871 2.059
P -1.026 -4.134 0.627
P 1.580 -2.088 -0.187
Hf 0.000 0.000 0.000
```

Calculated values
Uncorrected formation energy (eV per atom): 0.3300
SG: P4/mmm
Energy above the most stable polymorph in this dataset (eV per atom): 0.1534

---

Crystalline PuZr2U at its relaxed geometry, computed with PBE-GGA.

```
4
Lattice="-2.198 -0.299 -2.236 0.639 -1.608 -2.632 -4.081 -9.781 3.099" Properties=species:S:1:pos:R:3 pbc="T T T"
Zr -1.417 -2.940 -0.433
Zr -4.223 -8.747 -1.336
U 0.000 0.000 0.000
Pu -2.820 -5.844 -0.884
```

Calculated values
SG: R-3m
ΔE_f (eV per atom): 0.26
Energy above the most stable polymorph in this dataset (eV per atom): 0.0264

---

Crystalline TaCuRuO6 at its relaxed geometry, computed with PBE-GGA.

```
18
Lattice="4.670 0.000 0.000 0.000 4.670 0.000 0.000 0.000 9.201" Properties=species:S:1:pos:R:3 pbc="T T T"
O 3.265 3.265 0.010
O 3.741 0.930 4.610
O 0.978 3.693 7.583
O 0.930 3.741 4.610
O 0.938 3.733 1.633
O 1.358 1.358 2.982
O 3.693 0.978 7.583
O 1.398 1.398 6.233
O 3.273 3.273 6.233
O 3.733 0.938 1.633
O 1.405 1.405 0.010
O 3.313 3.313 2.982
Ta 2.335 2.335 1.495
Ta 0.000 0.000 6.096
Cu 0.000 0.000 9.173
Cu 2.335 2.335 4.573
Ru 0.000 0.000 3.084
Ru 2.335 2.335 7.684
```

Calculated values
Uncorrected formation energy (eV per atom): -1.4992
SG: P4_2nm

---

Crystalline BaNdCuAg at its relaxed geometry, computed with PBE-GGA.

```
4
Lattice="5.453 0.000 0.000 2.726 4.722 0.000 2.726 1.574 4.452" Properties=species:S:1:pos:R:3 pbc="T T T"
Cu 8.179 4.722 3.339
Nd 0.000 0.000 0.000
Ba 5.453 3.148 2.226
Ag 2.726 1.574 1.113
```

Calculated values
SG: F-43m
ΔE_f (eV per atom): 0.00

---

Crystalline Ag2SnWI at its relaxed geometry, computed with PBE-GGA.

```
5
Lattice="5.162 0.000 0.000 0.000 6.296 0.000 0.000 0.000 5.162" Properties=species:S:1:pos:R:3 pbc="T T T"
Ag 0.000 0.000 2.581
Ag 2.581 0.000 0.000
I 0.000 3.148 0.000
W 2.581 3.148 2.581
Sn 0.000 0.000 0.000
```

Calculated values
Uncorrected formation energy (eV per atom): 1.5952
SG: P4/mmm

---

Crystalline BiRuS2 at its relaxed geometry, computed with PBE-GGA.

```
4
Lattice="-5.630 -5.031 3.528 -2.551 -6.499 4.551 -3.892 -3.736 6.353" Properties=species:S:1:pos:R:3 pbc="T T T"
S -1.417 -1.791 1.693
S -10.656 -13.475 12.739
Bi 0.000 0.000 0.000
Ru -6.036 -7.633 7.216
```

Calculated values
Uncorrected formation energy (eV per atom): -0.2100
SG: R-3m

---

Crystalline MgAs2Ru at its relaxed geometry, computed with PBE-GGA.

```
4
Lattice="4.588 0.000 0.000 0.000 3.520 -0.014 0.000 1.786 4.392" Properties=species:S:1:pos:R:3 pbc="T T T"
Ru 2.294 4.640 3.285
Mg 0.000 2.878 2.487
As 2.294 1.104 0.770
As 0.000 2.858 0.010
```

Calculated values
SG: Pm
ΔE_f (eV per atom): -0.13

---

Crystalline CaNd2MgN at its relaxed geometry, computed with PBE-GGA.

```
5
Lattice="-0.437 -3.622 -3.422 5.053 -0.075 -0.566 0.359 -3.507 3.666" Properties=species:S:1:pos:R:3 pbc="T T T"
Mg 2.487 -3.602 -0.161
Nd 0.179 -1.753 1.833
Nd 2.527 -0.038 -0.283
Ca -0.219 -1.811 -1.711
N 0.000 0.000 0.000
```

Calculated values
Uncorrected formation energy (eV per atom): -0.5269
SG: P4/mmm

---

Crystalline RbTe2Pd at its relaxed geometry, computed with PBE-GGA.

```
4
Lattice="-3.041 -5.696 7.704 -4.685 -7.704 4.445 -0.715 -8.372 5.518" Properties=species:S:1:pos:R:3 pbc="T T T"
Pd -4.221 -10.886 8.833
Te -7.423 -19.145 15.536
Te -1.018 -2.626 2.131
Rb 0.000 0.000 0.000
```

Calculated values
Uncorrected formation energy (eV per atom): -0.2921
SG: R-3m

---

Crystalline PmPaAs2O at its relaxed geometry, computed with PBE-GGA.

```
10
Lattice="4.022 0.000 0.000 0.000 4.022 0.000 0.000 0.000 14.813" Properties=species:S:1:pos:R:3 pbc="T T T"
Pa 0.000 2.011 13.094
Pa 2.011 0.000 1.719
O 2.011 2.011 7.407
O 0.000 0.000 7.407
Pm 0.000 2.011 6.240
Pm 2.011 0.000 8.573
As 2.011 0.000 4.405
As 2.011 0.000 13.543
As 0.000 2.011 1.270
As 0.000 2.011 10.408
```

Calculated values
Uncorrected formation energy (eV per atom): -1.6051
SG: P4/nmm

---

Crystalline CoGeRu3 at its relaxed geometry, computed with PBE-GGA.

```
5
Lattice="-3.349 -2.355 1.742 2.848 -3.238 1.098 0.687 1.942 3.944" Properties=species:S:1:pos:R:3 pbc="T T T"
Ru -1.675 -1.177 0.871
Ru 1.424 -1.619 0.549
Ru 0.343 0.971 1.972
Ge 0.000 0.000 0.000
Co 0.093 -1.825 3.392
```

Calculated values
SG: Pm-3m
ΔE_f (eV per atom): 1.54
Energy above the most stable polymorph in this dataset (eV per atom): 0.2015

---

Crystalline ZrZn2TeO at its relaxed geometry, computed with PBE-GGA.

```
5
Lattice="4.567 0.000 0.000 0.000 4.370 0.000 0.000 0.000 4.567" Properties=species:S:1:pos:R:3 pbc="T T T"
O 0.000 0.000 0.000
Zn 2.284 0.000 0.000
Zn 0.000 0.000 2.284
Zr 0.000 2.185 0.000
Te 2.284 2.185 2.284
```

Calculated values
Uncorrected formation energy (eV per atom): -0.5049
SG: P4/mmm

---

Crystalline HoZnCdAu at its relaxed geometry, computed with PBE-GGA.

```
4
Lattice="4.859 0.000 0.000 2.429 4.208 0.000 2.429 1.403 3.967" Properties=species:S:1:pos:R:3 pbc="T T T"
Zn 4.859 2.805 1.984
Au 0.000 0.000 0.000
Cd 7.288 4.208 2.975
Ho 2.429 1.403 0.992
```

Calculated values
SG: F-43m
ΔE_f (eV per atom): -0.50

---

Crystalline TlSnAsBr2 at its relaxed geometry, computed with PBE-GGA.

```
5
Lattice="-1.817 4.143 -3.256 -5.541 -2.515 -0.108 -1.419 2.932 4.523" Properties=species:S:1:pos:R:3 pbc="T T T"
Tl 0.000 0.000 0.000
Br -0.710 1.466 2.262
Br -0.909 2.072 -1.628
As -4.389 2.280 0.580
Sn -2.770 -1.258 -0.054
```

Calculated values
Uncorrected formation energy (eV per atom): 0.4724
SG: P4/mmm
Energy above the most stable polymorph in this dataset (eV per atom): 0.6273

---

Crystalline GaTeAu at its relaxed geometry, computed with PBE-GGA.

```
3
Lattice="4.765 0.000 0.000 2.382 4.126 0.000 2.382 1.375 3.890" Properties=species:S:1:pos:R:3 pbc="T T T"
Au 2.382 1.375 0.973
Ga 0.000 0.000 0.000
Te 4.765 2.751 1.945
```

Calculated values
Uncorrected formation energy (eV per atom): -0.0769
SG: F-43m

---

Crystalline Rb3BaAs at its relaxed geometry, computed with PBE-GGA.

```
5
Lattice="6.900 0.000 0.000 0.000 6.900 0.000 0.000 0.000 6.900" Properties=species:S:1:pos:R:3 pbc="T T T"
As 0.000 0.000 0.000
Rb 0.000 3.450 0.000
Rb 0.000 0.000 3.450
Rb 3.450 0.000 0.000
Ba 3.450 3.450 3.450
```

Calculated values
SG: Pm-3m
ΔE_f (eV per atom): 0.06
Energy above the most stable polymorph in this dataset (eV per atom): 0.0000

---

Crystalline Rb2SiAuCl6 at its relaxed geometry, computed with PBE-GGA.

```
10
Lattice="-1.802 7.434 -1.173 -7.433 -1.947 -0.921 -5.311 3.280 3.415" Properties=species:S:1:pos:R:3 pbc="T T T"
Cl -5.833 0.720 -0.992
Cl -3.402 4.768 -1.102
Cl -9.590 5.762 0.190
Cl -2.625 1.560 -0.595
Cl -6.610 3.928 -1.499
Cl -4.956 3.006 1.131
Si -4.618 2.744 -1.047
Au 0.000 0.000 0.000
Rb -5.865 6.729 0.597
Rb -8.681 2.039 0.723
```

Calculated values
Uncorrected formation energy (eV per atom): -1.0852
SG: I4/mmm

---

Crystalline Na8Ag2Pb at its relaxed geometry, computed with PBE-GGA.

```
11
Lattice="-1.189 -2.452 4.762 5.297 -4.530 -1.047 3.187 8.666 2.113" Properties=species:S:1:pos:R:3 pbc="T T T"
Na 3.046 0.085 5.090
Na 0.712 2.501 5.771
Na 3.444 5.184 4.719
Na 2.304 -0.165 1.617
Na 5.413 5.223 2.085
Na 4.537 -5.142 2.765
Na 5.578 1.390 3.240
Na 5.105 -2.124 1.289
Ag 3.021 -2.611 3.675
Ag 2.741 2.616 3.156
Pb 7.867 3.149 1.564
```

Calculated values
SG: P1
ΔE_f (eV per atom): -0.04
Energy above the most stable polymorph in this dataset (eV per atom): 0.0000

---

Crystalline AlGa3Ru at its relaxed geometry, computed with PBE-GGA.

```
5
Lattice="4.792 0.000 0.000 0.000 4.792 0.000 0.000 0.000 4.792" Properties=species:S:1:pos:R:3 pbc="T T T"
Ga 0.000 2.396 0.000
Ga 0.000 0.000 2.396
Ga 2.396 0.000 0.000
Ru 0.000 0.000 0.000
Al 2.396 2.396 2.396
```

Calculated values
SG: Pm-3m
ΔE_f (eV per atom): 0.12

---

Crystalline PaCu6 at its relaxed geometry, computed with PBE-GGA.

```
28
Lattice="-2.524 0.359 -4.308 -6.834 -1.411 3.887 -1.176 9.858 1.510" Properties=species:S:1:pos:R:3 pbc="T T T"
Cu -2.530 6.908 -0.886
Cu -3.219 1.275 1.956
Cu -6.773 1.723 4.077
Cu -3.670 6.972 1.277
Cu -7.102 6.395 3.240
Cu -6.864 1.833 -0.188
Cu -6.085 7.355 1.234
Cu -8.754 7.506 1.392
Cu -5.448 2.699 1.963
Cu -3.147 4.906 -2.110
Cu -5.163 5.156 2.001
Cu -7.388 3.900 3.200
Cu -1.780 1.299 -0.303
Cu -6.011 -0.426 -0.876
Cu -5.086 6.107 -0.874
Cu -3.432 2.411 -2.151
Cu -8.004 1.898 1.976
Cu -5.372 3.650 -0.911
Cu -8.422 -0.128 0.562
Cu -2.113 8.933 0.528
Cu -7.316 7.530 -0.867
Cu -4.450 1.450 -0.144
Cu -4.523 9.232 1.965
Cu -3.761 7.083 -2.987
Pa -7.625 4.809 0.506
Pa -2.909 3.996 0.583
Pa -4.640 9.129 -0.884
Pa -5.895 -0.324 1.973
```

Calculated values
SG: Pnma
ΔE_f (eV per atom): -0.05

---

Crystalline Cd3Rh2 at its relaxed geometry, computed with PBE-GGA.

```
5
Lattice="4.536 0.000 0.000 -2.268 3.928 0.000 0.000 0.000 5.507" Properties=species:S:1:pos:R:3 pbc="T T T"
Rh 0.000 2.619 4.745
Rh 2.268 1.309 0.761
Cd 2.268 1.309 3.525
Cd 0.000 0.000 0.000
Cd 0.000 2.619 1.982
```

Calculated values
SG: P-3m1
ΔE_f (eV per atom): -0.05

---

Crystalline PuUCd4 at its relaxed geometry, computed with PBE-GGA.

```
6
Lattice="5.892 0.000 0.000 2.946 5.102 0.000 2.946 1.701 4.810" Properties=species:S:1:pos:R:3 pbc="T T T"
Cd 4.420 4.251 3.006
Cd 5.892 3.402 0.602
Cd 7.364 4.251 3.006
Cd 5.892 1.702 3.006
U 2.946 1.701 1.203
Pu 0.000 0.000 0.000
```

Calculated values
SG: F-43m
ΔE_f (eV per atom): 0.16

---

Crystalline LiCr2Ni at its relaxed geometry, computed with PBE-GGA.

```
4
Lattice="-8.735 0.503 -2.447 -9.082 -0.211 -0.094 -8.793 2.196 -0.631" Properties=species:S:1:pos:R:3 pbc="T T T"
Ni -19.957 1.867 -2.379
Cr -13.143 1.229 -1.567
Cr -0.162 0.015 -0.019
Li -6.652 0.622 -0.793
```

Calculated values
SG: R-3m
ΔE_f (eV per atom): 0.35
Energy above the most stable polymorph in this dataset (eV per atom): 0.1777

---

Crystalline Ga3NiI at its relaxed geometry, computed with PBE-GGA.

```
5
Lattice="-0.650 5.632 -1.766 -2.352 1.383 5.274 5.414 1.277 2.079" Properties=species:S:1:pos:R:3 pbc="T T T"
Ga -0.325 2.816 -0.883
Ga 2.707 0.638 1.040
Ga -1.176 0.691 2.637
Ni 1.206 4.146 2.794
I 0.000 0.000 0.000
```

Calculated values
Uncorrected formation energy (eV per atom): 1.1767
SG: Pm-3m
Energy above the most stable polymorph in this dataset (eV per atom): 1.3990

---

Crystalline Al2ZnRh at its relaxed geometry, computed with PBE-GGA.

```
4
Lattice="4.161 0.000 0.000 2.081 3.604 0.000 2.081 1.201 4.330" Properties=species:S:1:pos:R:3 pbc="T T T"
Al 2.081 1.201 0.793
Al 2.081 1.201 3.636
Zn 4.161 2.403 2.325
Rh 6.242 3.604 4.073
```

Calculated values
SG: R3m
ΔE_f (eV per atom): -0.42

---

| no. | energy (eV per atom) |
| --- | --- |
| 1 | -3.431 |
| 2 | -5.476 |
| 3 | -10.421 |
| 4 | -7.607 |
| 5 | -3.411 |
| 6 | -3.246 |
| 7 | -5.563 |
| 8 | -5.168 |
| 9 | -4.818 |
| 10 | -3.403 |
| 11 | -7.306 |
| 12 | -6.367 |
| 13 | -4.344 |
| 14 | -3.008 |
| 15 | -2.400 |
| 16 | -3.225 |
| 17 | -1.836 |
| 18 | -3.257 |
| 19 | -1.855 |
| 20 | -4.296 |
| 21 | -4.920 |
| 22 | -3.541 |
| 23 | -4.723 |
| 24 | -6.389 |
| 25 | -2.106 |
| 26 | -4.447 |